<a>
A geometry-optimized HfZrSi2Ni structure. Source: OQMD via LeMat-Bulk, functional GGA-PBE.

The value obtained for the spin magnetization is 0.01 μB per formula unit. The symmetry is C2/m (12).

Cell lengths 5.269, 5.269, 9.447 Å; angles 115.71, 115.71, 43.19 degrees
Atoms (fractional coordinates):
1 Hf 0.002 0.002 0.175
2 Hf 0.998 0.998 0.825
3 Ni 0.280 0.280 0.143
4 Ni 0.720 0.720 0.857
5 Si 0.643 0.643 0.065
6 Si 0.518 0.518 0.381
7 Si 0.482 0.482 0.619
8 Si 0.357 0.357 0.935
9 Zr 0.810 0.810 0.397
10 Zr 0.190 0.190 0.603



<b>
A geometry-optimized HfZrSi2Ni structure. Source: OQMD via LeMat-Bulk, functional GGA-PBE.

The value obtained for the spin magnetization is 0.01 μB per formula unit. The symmetry is C2/m (12).

Cell lengths 5.261, 5.261, 9.444 Å; angles 115.75, 115.75, 43.34 degrees
Atoms (fractional coordinates):
1 Hf 0.189 0.189 0.103
2 Hf 0.811 0.811 0.897
3 Ni 0.719 0.719 0.353
4 Ni 0.281 0.281 0.647
5 Si 0.480 0.480 0.117
6 Si 0.355 0.355 0.435
7 Si 0.645 0.645 0.565
8 Si 0.520 0.520 0.883
9 Zr 0.997 0.997 0.323
10 Zr 0.003 0.003 0.677



How far above the most stable structure does each one sit? In eV/atom: <a> 0.000; <b> 0.011.



<a>
A geometry-optimized HfNiTe2 structure. Source: OQMD via LeMat-Bulk, functional GGA-PBE.

The value obtained for the spin magnetization is 0.00 μB per formula unit. The symmetry is P2_1/c (14).

Cell lengths 8.705, 6.664, 8.024 Å; angles 90.00, 117.42, 90.00 degrees
Atoms (fractional coordinates):
1 Hf 0.000 0.500 0.210
2 Hf 0.000 0.000 0.290
3 Hf 0.000 0.000 0.710
4 Hf 0.000 0.500 0.790
5 Ni 0.112 0.146 0.056
6 Ni 0.888 0.646 0.444
7 Ni 0.112 0.354 0.556
8 Ni 0.888 0.854 0.944
9 Te 0.696 0.750 0.098
10 Te 0.211 0.761 0.105
11 Te 0.789 0.261 0.395
12 Te 0.304 0.250 0.402
13 Te 0.696 0.750 0.598
14 Te 0.211 0.739 0.605
15 Te 0.789 0.239 0.895
16 Te 0.304 0.250 0.902



<b>
A geometry-optimized HfNiTe2 structure. Source: OQMD via LeMat-Bulk, functional GGA-PBE.

The value obtained for the spin magnetization is 0.02 μB per formula unit. The symmetry is F-43m (216).

Cell lengths 4.926, 4.926, 4.926 Å; angles 60.00, 60.00, 60.00 degrees
Atoms (fractional coordinates):
1 Hf 0.500 0.500 0.500
2 Ni 0.250 0.250 0.250
3 Te 0.000 0.000 0.000
4 Te 0.750 0.750 0.750



How far above the most stable structure does each one sit? In eV/atom: <a> 0.000; <b> 0.943.



<a>
A geometry-optimized HfUNi structure. Source: OQMD via LeMat-Bulk, functional GGA-PBE.

The value obtained for the spin magnetization is 2.16 μB per formula unit. The symmetry is F-43m (216).

Cell lengths 4.438, 4.438, 4.438 Å; angles 60.00, 60.00, 60.00 degrees
Atoms (fractional coordinates):
1 Hf 0.250 0.250 0.250
2 Ni 0.750 0.750 0.750
3 U 0.000 0.000 0.000



<b>
A geometry-optimized HfUNi structure. Source: OQMD via LeMat-Bulk, functional GGA-PBE.

The value obtained for the spin magnetization is 2.88 μB per formula unit. The symmetry is F-43m (216).

Cell lengths 4.440, 4.440, 4.440 Å; angles 60.00, 60.00, 60.00 degrees
Site moments in Bohr magnetons follow the coordinates.
Atoms (fractional coordinates):
1 Hf 0.750 0.750 0.750  0.44
2 Ni 0.000 0.000 0.000  0.06
3 U 0.250 0.250 0.250  2.06



How far above the most stable structure does each one sit? In eV/atom: <a> 0.590; <b> 0.000.



<a>
A geometry-optimized HfZrNi structure. Source: OQMD via LeMat-Bulk, functional GGA-PBE.

The value obtained for the spin magnetization is 0.00 μB per formula unit. The symmetry is P4/mmm (123).

Cell lengths 3.215, 3.215, 10.618 Å; angles 90.00, 90.00, 90.00 degrees
Atoms (fractional coordinates):
1 Hf 0.000 0.000 0.351
2 Hf 0.000 0.000 0.649
3 Ni 0.000 0.000 0.000
4 Ni 0.500 0.500 0.500
5 Zr 0.500 0.500 0.154
6 Zr 0.500 0.500 0.846



<b>
A geometry-optimized HfZrNi structure. Source: OQMD via LeMat-Bulk, functional GGA-PBE.

The value obtained for the spin magnetization is 0.21 μB per formula unit. The symmetry is F-43m (216).

Cell lengths 4.404, 4.404, 4.404 Å; angles 60.00, 60.00, 60.00 degrees
Atoms (fractional coordinates):
1 Hf 0.250 0.250 0.250
2 Ni 0.000 0.000 0.000
3 Zr 0.750 0.750 0.750



How far above the most stable structure does each one sit? In eV/atom: <a> 0.000; <b> 0.293.



<a>
A geometry-optimized HfNp structure. Source: OQMD via LeMat-Bulk, functional GGA-PBE.

The value obtained for the spin magnetization is 3.05 μB per formula unit. The symmetry is P-6m2 (187).

Cell lengths 3.023, 3.023, 5.501 Å; angles 90.00, 90.00, 120.00 degrees
Atoms (fractional coordinates):
1 Hf 0.667 0.333 0.750
2 Np 0.333 0.667 0.250



<b>
A geometry-optimized HfNp structure. Source: OQMD via LeMat-Bulk, functional GGA-PBE.

The value obtained for the spin magnetization is 0.01 μB per formula unit. The symmetry is P6_3/mmc (194).

Cell lengths 4.815, 4.815, 4.600 Å; angles 90.00, 90.00, 120.00 degrees
Atoms (fractional coordinates):
1 Hf 0.667 0.333 0.250
2 Hf 0.333 0.667 0.750
3 Np 0.000 0.000 0.000
4 Np 0.000 0.000 0.500



How far above the most stable structure does each one sit? In eV/atom: <a> 0.000; <b> 0.506.



<a>
A geometry-optimized HfNp structure. Source: OQMD via LeMat-Bulk, functional GGA-PBE.

The value obtained for the spin magnetization is 2.89 μB per formula unit. The symmetry is P6_3/mmc (194).

Cell lengths 3.008, 3.008, 11.069 Å; angles 90.00, 90.00, 120.00 degrees
Site moments in Bohr magnetons follow the coordinates.
Atoms (fractional coordinates):
1 Hf 0.000 0.000 0.000  -0.10
2 Hf 0.000 0.000 0.500  -0.08
3 Np 0.667 0.333 0.250  2.92
4 Np 0.333 0.667 0.750  2.92



<b>
A geometry-optimized HfNp structure. Source: OQMD via LeMat-Bulk, functional GGA-PBE.

The value obtained for the spin magnetization is 4.96 μB per formula unit. The symmetry is Fm-3m (225).

Cell lengths 4.179, 4.179, 4.179 Å; angles 60.00, 60.00, 60.00 degrees
Site moments in Bohr magnetons follow the coordinates.
Atoms (fractional coordinates):
1 Hf 0.000 0.000 0.000  0.61
2 Np 0.500 0.500 0.500  3.99



How far above the most stable structure does each one sit? In eV/atom: <a> 0.000; <b> 1.106.



<a>
A geometry-optimized HfO3 structure. Source: OQMD via LeMat-Bulk, functional GGA-PBE.

The value obtained for the spin magnetization is 0.00 μB per formula unit. The symmetry is P-1 (2).

Cell lengths 6.579, 6.078, 6.162 Å; angles 107.04, 81.54, 131.98 degrees
Atoms (fractional coordinates):
1 Hf 0.568 0.513 0.081
2 Hf 0.762 0.157 0.420
3 Hf 0.088 0.003 0.596
4 Hf 0.243 0.668 0.905
5 O 0.886 0.494 0.073
6 O 0.585 0.876 0.103
7 O 0.329 0.108 0.206
8 O 0.001 0.561 0.293
9 O 0.746 0.794 0.397
10 O 0.444 0.175 0.427
11 O 0.130 0.362 0.572
12 O 0.533 0.968 0.692
13 O 0.926 0.575 0.698
14 O 0.405 0.095 0.802
15 O 0.797 0.701 0.808
16 O 0.200 0.307 0.928



<b>
A geometry-optimized HfO3 structure. Source: OQMD via LeMat-Bulk, functional GGA-PBE.

The value obtained for the spin magnetization is 0.00 μB per formula unit. The symmetry is C2 (5).

Cell lengths 5.388, 5.387, 3.816 Å; angles 102.16, 102.16, 109.87 degrees
Atoms (fractional coordinates):
1 Hf 0.155 0.845 0.000
2 Hf 0.617 0.383 0.500
3 O 0.275 0.253 0.096
4 O 0.965 0.575 0.343
5 O 0.545 0.926 0.361
6 O 0.074 0.455 0.639
7 O 0.425 0.035 0.657
8 O 0.747 0.725 0.904



How far above the most stable structure does each one sit? In eV/atom: <a> 0.000; <b> 0.341.



<a>
A geometry-optimized Hf4O11 structure. Source: OQMD via LeMat-Bulk, functional GGA-PBE.

The value obtained for the spin magnetization is 0.00 μB per formula unit. The symmetry is P1 (1).

Cell lengths 12.074, 6.496, 3.245 Å; angles 94.39, 109.13, 127.92 degrees
Atoms (fractional coordinates):
1 Hf 0.965 0.230 0.146
2 Hf 0.477 0.160 0.273
3 Hf 0.031 0.876 0.701
4 Hf 0.541 0.794 0.816
5 O 0.908 0.841 0.033
6 O 0.418 0.766 0.151
7 O 0.766 0.919 0.305
8 O 0.900 0.461 0.317
9 O 0.504 0.493 0.383
10 O 0.202 0.043 0.435
11 O 0.301 0.974 0.535
12 O 0.734 0.058 0.576
13 O 0.041 0.550 0.738
14 O 0.091 0.255 0.814
15 O 0.598 0.200 0.925



<b>
A geometry-optimized Hf4O11 structure. Source: OQMD via LeMat-Bulk, functional GGA-PBE.

The value obtained for the spin magnetization is 0.00 μB per formula unit. The symmetry is P1 (1).

Cell lengths 12.000, 6.176, 3.402 Å; angles 102.41, 99.06, 125.14 degrees
Atoms (fractional coordinates):
1 Hf 0.427 0.222 0.011
2 Hf 0.084 0.835 0.058
3 Hf 0.566 0.811 0.826
4 Hf 0.928 0.116 0.963
5 O 0.139 0.226 0.027
6 O 0.915 0.821 0.138
7 O 0.455 0.615 0.197
8 O 0.279 0.954 0.325
9 O 0.769 0.935 0.344
10 O 0.976 0.513 0.392
11 O 0.055 0.428 0.633
12 O 0.545 0.441 0.664
13 O 0.757 0.125 0.673
14 O 0.189 0.112 0.736
15 O 0.528 0.070 0.994



<c>
A geometry-optimized Hf4O11 structure. Source: OQMD via LeMat-Bulk, functional GGA-PBE.

The value obtained for the spin magnetization is 0.01 μB per formula unit. The symmetry is P1 (1).

Cell lengths 12.167, 6.172, 3.426 Å; angles 100.49, 107.15, 125.22 degrees
Atoms (fractional coordinates):
1 Hf 0.446 0.182 0.296
2 Hf 0.249 0.382 0.727
3 Hf 0.919 0.142 0.850
4 Hf 0.603 0.967 0.909
5 O 0.132 0.217 0.060
6 O 0.770 0.874 0.128
7 O 0.428 0.818 0.192
8 O 0.982 0.485 0.359
9 O 0.291 0.916 0.548
10 O 0.723 0.112 0.585
11 O 0.442 0.502 0.617
12 O 0.069 0.418 0.628
13 O 0.242 0.042 0.778
14 O 0.847 0.785 0.978
15 O 0.584 0.279 0.994



How far above the most stable structure does each one sit? In eV/atom: <a> 0.021; <b> 0.073; <c> 0.000.